Rb2NbTl2 | PBE | optimized geometry

Values from the calculation:
Calculated density, g cm⁻³: 5.44
VASP energy, eV for the cell shown: -28.00

Cell lengths 7.6762, 7.6762, 9.0905 Å; angles 90.00, 90.00, 50.08 degrees
Atoms (fractional coordinates):
Rb (0.1522, 0.1527, 0.0000)
Rb (0.1527, 0.1522, 0.5000)
Rb (0.8473, 0.8478, 0.0000)
Rb (0.8478, 0.8473, 0.5000)
Nb (0.4990, 0.5010, 0.9991)
Nb (0.5010, 0.4990, 0.4991)
Tl (0.3775, 0.3779, 0.2491)
Tl (0.3779, 0.3775, 0.7491)
Tl (0.6221, 0.6225, 0.2491)
Tl (0.6225, 0.6221, 0.7491)